# 1
{
  "formula": "LaTb2DyS4",
  "functional": "GGA-PBE",
  "state": "relaxed",
  "cell": [[-1.0563, -3.6233, -1.1430], [-1.0456, -1.7735, 6.5884], [-6.5792, 1.3820, 1.6991]],
  "species": ["S", "S", "S", "S", "Tb", "Tb", "La", "Dy"],
  "frac_coords": [[0.0000, 0.7612, 0.7372], [0.0000, 0.2388, 0.2628], [0.5000, 0.7540, 0.2573], [0.5000, 0.2460, 0.7427], [0.0000, 0.0000, 0.0000], [0.5000, 0.0000, 0.5000], [0.5000, 0.5000, 0.0000], [0.0000, 0.5000, 0.5000]],
  "spacegroup": "P2/m, No. 10",
  "total_magnetization_mub_per_cell": 0.000,
  "dos_at_fermi_per_ev_atom": 0.64,
  "raw_formation_energy_ev_per_atom": -2.034
}

# 2
{
  "formula": "KCd2BiAu4",
  "functional": "GGA-PBE",
  "state": "relaxed",
  "cell": [[-1.6890, 4.4639, -2.1072], [-2.4489, -0.0523, -4.6064], [-8.5705, 0.5591, 1.5955]],
  "species": ["Au", "Au", "Au", "Au", "Cd", "Cd", "Bi", "K"],
  "frac_coords": [[0.1489, 0.1489, 0.5533], [0.3816, 0.3816, 0.8553], [0.6184, 0.6184, 0.1447], [0.8511, 0.8511, 0.4467], [0.7360, 0.7360, 0.7921], [0.2640, 0.2640, 0.2079], [0.5000, 0.5000, 0.5000], [0.0000, 0.0000, 0.0000]],
  "spacegroup": "R-3m, No. 166",
  "formation_energy_ev_per_atom": -0.049,
  "total_magnetization_mub_per_cell": 0.000,
  "dos_at_fermi_per_ev_atom": 0.28
}

# 3
{
  "formula": "KRbTl",
  "functional": "GGA-PBE",
  "state": "relaxed",
  "cell": [[-3.0017, 0.8495, -4.3801], [3.6367, -5.0317, -3.4647], [-6.7101, -5.4601, 3.6988]],
  "species": ["K", "K", "Tl", "Tl", "Rb", "Rb"],
  "frac_coords": [[0.7452, 0.8567, 0.3423], [0.2548, 0.1433, 0.6577], [0.2505, 0.6061, 0.5326], [0.7495, 0.3939, 0.4674], [0.2430, 0.3004, 0.1599], [0.7570, 0.6996, 0.8401]],
  "spacegroup": "P-1, No. 2",
  "formation_energy_ev_per_atom": -0.055,
  "total_magnetization_mub_per_cell": 0.000,
  "dos_at_fermi_per_ev_atom": 0.55,
  "e_above_lowest_polymorph_kcal_per_mol_atoms": 0.00
}